1.
Here is a relaxed SiTc2Cl crystal from Alexandria. Energies are from GGA-PBEsol.

The volume comes out at 52.52 Å³ per cell.

It has space group P4/mmm (No. 123), with a = 4.253 Å, b = 4.253 Å, c = 2.903 Å, α = 90.00°, β = 90.00° and γ = 90.00°. The distinct sites, in fractional coordinates, are Si at (0.000, 0.000, 0.000), Tc at (0.000, 0.500, 0.500) and Cl at (0.500, 0.500, 0.000).

2.
Here is a relaxed SiTc2Cl crystal from Alexandria. Energies are from GGA-PBEsol.

The volume comes out at 164.58 Å³ per cell.

It has space group R-3m (No. 166, hexagonal axes), with a = 2.8387 Å, b = 2.8387 Å, c = 23.5830 Å, α = 90.00°, β = 90.00° and γ = 120.00°. The distinct sites, in fractional coordinates, are Si at (0.0000, 0.0000, 0.0000), Tc at (0.0000, 0.0000, 0.2521) and Cl at (0.0000, 0.0000, 0.5000).

3.
Here is a relaxed SiTc2Cl crystal from Alexandria. Energies are from GGA-PBEsol.

The volume comes out at 57.04 Å³ per cell.

It has space group Pmm2 (No. 25), with a = 2.802 Å, b = 3.844 Å, c = 5.296 Å, α = 90.00°, β = 90.00° and γ = 90.00°. The distinct sites, in fractional coordinates, are Si at (0.000, 0.000, 0.000), Tc at (0.000, 0.000, 0.469), Tc at (0.500, 0.500, 0.200) and Cl at (0.500, 0.500, 0.625).

Which one is most stable, and which one is least stable? 2 is the most stable of them, while 1 is the least stable.

1.
Here is a relaxed SiTcCl crystal from Alexandria. Energies are from GGA-PBEsol.

The volume comes out at 104.29 Å³ per cell.

It has space group I4mm (No. 107), with a = 3.016 Å, b = 3.016 Å, c = 11.464 Å, α = 90.00°, β = 90.00° and γ = 90.00°. The distinct sites, in fractional coordinates, are Si at (0.000, 0.000, 0.000), Tc at (0.000, 0.000, 0.600) and Cl at (0.000, 0.000, 0.810).

2.
Here is a relaxed SiTcCl crystal from Alexandria. Energies are from GGA-PBEsol.

The volume comes out at 45.77 Å³ per cell.

It has space group P3m1 (No. 156), with a = 3.0893 Å, b = 3.0893 Å, c = 5.5371 Å, α = 90.00°, β = 90.00° and γ = 120.00°. The distinct sites, in fractional coordinates, are Si at (0.0000, 0.0000, 0.0000), Tc at (0.3333, 0.6667, 0.7250) and Cl at (0.6667, 0.3333, 0.3675).

Which one is most stable, and which one is least stable? 1 is the most stable of them, while 2 is the least stable.

1.
Here is a relaxed TlSiCl2 crystal from Alexandria. Energies are from GGA-PBEsol.

The volume comes out at 187.46 Å³ per cell.

It has space group Immm (No. 71), with a = 3.647 Å, b = 5.587 Å, c = 9.200 Å, α = 90.00°, β = 90.00° and γ = 90.00°. The distinct sites, in fractional coordinates, are Tl at (0.000, 0.000, 0.000), Si at (0.000, 0.000, 0.500) and Cl at (0.000, 0.500, 0.192).

2.
Here is a relaxed TlSiCl2 crystal from Alexandria. Energies are from GGA-PBEsol.

The volume comes out at 178.10 Å³ per cell.

It has space group I4/mmm (No. 139), with a = 5.017 Å, b = 5.017 Å, c = 7.076 Å, α = 90.00°, β = 90.00° and γ = 90.00°. The distinct sites, in fractional coordinates, are Tl at (0.000, 0.000, 0.000), Si at (0.000, 0.000, 0.500) and Cl at (0.000, 0.500, 0.250).

3.
Here is a relaxed TlSiCl2 crystal from Alexandria. Energies are from GGA-PBEsol.

The volume comes out at 89.11 Å³ per cell.

It has space group Pmmm (No. 47), with a = 3.568 Å, b = 4.432 Å, c = 5.635 Å, α = 90.00°, β = 90.00° and γ = 90.00°. The distinct sites, in fractional coordinates, are Tl at (0.000, 0.000, 0.000), Si at (0.500, 0.000, 0.500), Cl at (0.000, 0.500, 0.500) and Cl at (0.500, 0.500, 0.000).

Which one is most stable, and which one is least stable? 1 is the most stable of them, while 2 is the least stable.

1.
Here is a relaxed SiW2Cl crystal from Alexandria. Energies are from GGA-PBEsol.

The volume comes out at 65.09 Å³ per cell.

It has space group P4/mmm (No. 123), with a = 3.144 Å, b = 3.144 Å, c = 6.584 Å, α = 90.00°, β = 90.00° and γ = 90.00°. The distinct sites, in fractional coordinates, are Si at (0.000, 0.000, 0.000), W at (0.500, 0.500, 0.185) and Cl at (0.000, 0.000, 0.500).

2.
Here is a relaxed SiW2Cl crystal from Alexandria. Energies are from GGA-PBEsol.

The volume comes out at 71.28 Å³ per cell.

It has space group P2/m (No. 10), with a = 3.208 Å, b = 4.114 Å, c = 5.410 Å, α = 90.00°, β = 93.40° and γ = 90.00°. The distinct sites, in fractional coordinates, are Si at (0.000, 0.000, 0.000), W at (0.298, 0.500, 0.179) and Cl at (0.500, 0.000, 0.500).

Which one is most stable, and which one is least stable? 1 is the most stable of them, while 2 is the least stable.

1.
Here is a relaxed SiWCl2 crystal from Alexandria. Energies are from GGA-PBEsol.

The volume comes out at 125.01 Å³ per cell.

It has space group I-4m2 (No. 119), with a = 4.120 Å, b = 4.120 Å, c = 7.363 Å, α = 90.00°, β = 90.00° and γ = 90.00°. The distinct sites, in fractional coordinates, are Si at (0.000, 0.000, 0.000), W at (0.000, 0.500, 0.250), Cl at (0.000, 0.000, 0.500) and Cl at (0.000, 0.500, 0.750).

2.
Here is a relaxed SiWCl2 crystal from Alexandria. Energies are from GGA-PBEsol.

The volume comes out at 147.85 Å³ per cell.

It has space group Cmm2 (No. 35), with a = 2.897 Å, b = 5.656 Å, c = 9.024 Å, α = 90.00°, β = 90.00° and γ = 90.00°. The distinct sites, in fractional coordinates, are Si at (0.000, 0.000, 0.000), W at (0.000, 0.500, 0.225), Cl at (0.000, 0.000, 0.436) and Cl at (0.000, 0.500, 0.795).

Which one is most stable, and which one is least stable? 2 is the most stable of them, while 1 is the least stable.

1.
Here is a relaxed ZrSiCl2 crystal from Alexandria. Energies are from GGA-PBEsol.

The volume comes out at 151.56 Å³ per cell.

It has space group Imm2 (No. 44), with a = 3.126 Å, b = 4.609 Å, c = 10.519 Å, α = 90.00°, β = 90.00° and γ = 90.00°. The distinct sites, in fractional coordinates, are Zr at (0.000, 0.000, 0.000), Si at (0.000, 0.500, 0.273), Cl at (0.000, 0.000, 0.467) and Cl at (0.000, 0.500, 0.692).

2.
Here is a relaxed ZrSiCl2 crystal from Alexandria. Energies are from GGA-PBEsol.

The volume comes out at 73.84 Å³ per cell.

It has space group P4/mmm (No. 123), with a = 4.099 Å, b = 4.099 Å, c = 4.394 Å, α = 90.00°, β = 90.00° and γ = 90.00°. The distinct sites, in fractional coordinates, are Zr at (0.000, 0.000, 0.000), Si at (0.500, 0.500, 0.000) and Cl at (0.000, 0.500, 0.500).

Which one is most stable, and which one is least stable? 1 is the most stable of them, while 2 is the least stable.

1.
Here is a relaxed Zr2SiCl crystal from Alexandria. Energies are from GGA-PBEsol.

The volume comes out at 146.85 Å³ per cell.

It has space group Amm2 (No. 38), with a = 4.044 Å, b = 3.377 Å, c = 10.753 Å, α = 90.00°, β = 90.00° and γ = 90.00°. The distinct sites, in fractional coordinates, are Zr at (0.000, 0.000, 0.000), Zr at (0.500, 0.000, 0.271), Si at (0.000, 0.000, 0.724) and Cl at (0.500, 0.000, 0.493).

2.
Here is a relaxed Zr2SiCl crystal from Alexandria. Energies are from GGA-PBEsol.

The volume comes out at 282.65 Å³ per cell.

It has space group Fm-3m (No. 225), with a = 6.563 Å, b = 6.563 Å, c = 6.563 Å, α = 90.00°, β = 90.00° and γ = 90.00°. The distinct sites, in fractional coordinates, are Zr at (0.250, 0.250, 0.250), Si at (0.000, 0.000, 0.000) and Cl at (0.000, 0.000, 0.500).

Which one is most stable, and which one is least stable? 1 is the most stable of them, while 2 is the least stable.

1.
Here is a relaxed Zr2SiCl crystal from Alexandria. Energies are from GGA-PBEsol.

The volume comes out at 214.42 Å³ per cell.

It has space group R-3m (No. 166, hexagonal axes), with a = 3.0941 Å, b = 3.0941 Å, c = 25.8611 Å, α = 90.00°, β = 90.00° and γ = 120.00°. The distinct sites, in fractional coordinates, are Zr at (0.0000, 0.0000, 0.2482), Si at (0.0000, 0.0000, 0.0000) and Cl at (0.0000, 0.0000, 0.5000).

2.
Here is a relaxed Zr2SiCl crystal from Alexandria. Energies are from GGA-PBEsol.

The volume comes out at 152.32 Å³ per cell.

It has space group Immm (No. 71), with a = 3.077 Å, b = 5.712 Å, c = 8.666 Å, α = 90.00°, β = 90.00° and γ = 90.00°. The distinct sites, in fractional coordinates, are Zr at (0.000, 0.000, 0.232), Si at (0.000, 0.500, 0.000) and Cl at (0.000, 0.500, 0.500).

Which one is most stable, and which one is least stable? 1 is the most stable of them, while 2 is the least stable.

1.
Here is a relaxed SrTc2Cl crystal from Alexandria. Energies are from GGA-PBEsol.

The volume comes out at 169.04 Å³ per cell.

It has space group C2/m (No. 12), with a = 5.172 Å, b = 12.712 Å, c = 3.383 Å, α = 90.00°, β = 130.53° and γ = 90.00°. The distinct sites, in fractional coordinates, are Sr at (0.000, 0.000, 0.000), Tc at (0.250, 0.250, 0.500) and Cl at (0.000, 0.500, 0.000).

2.
Here is a relaxed SrTc2Cl crystal from Alexandria. Energies are from GGA-PBEsol.

The volume comes out at 85.48 Å³ per cell.

It has space group P4/mmm (No. 123), with a = 3.647 Å, b = 3.647 Å, c = 6.427 Å, α = 90.00°, β = 90.00° and γ = 90.00°. The distinct sites, in fractional coordinates, are Sr at (0.000, 0.000, 0.000), Tc at (0.000, 0.500, 0.500) and Cl at (0.500, 0.500, 0.000).

3.
Here is a relaxed SrTc2Cl crystal from Alexandria. Energies are from GGA-PBEsol.

The volume comes out at 164.91 Å³ per cell.

It has space group Immm (No. 71), with a = 3.279 Å, b = 4.016 Å, c = 12.522 Å, α = 90.00°, β = 90.00° and γ = 90.00°. The distinct sites, in fractional coordinates, are Sr at (0.000, 0.000, 0.000), Tc at (0.000, 0.500, 0.243) and Cl at (0.000, 0.000, 0.500).

Which one is most stable, and which one is least stable? 3 is the most stable of them, while 1 is the least stable.

1.
Here is a relaxed Sr2TcCl crystal from Alexandria. Energies are from GGA-PBEsol.

The volume comes out at 421.68 Å³ per cell.

It has space group Fm-3m (No. 225), with a = 7.499 Å, b = 7.499 Å, c = 7.499 Å, α = 90.00°, β = 90.00° and γ = 90.00°. The distinct sites, in fractional coordinates, are Sr at (0.250, 0.250, 0.250), Tc at (0.000, 0.000, 0.000) and Cl at (0.000, 0.000, 0.500).

2.
Here is a relaxed Sr2TcCl crystal from Alexandria. Energies are from GGA-PBEsol.

The volume comes out at 199.80 Å³ per cell.

It has space group Cmmm (No. 65), with a = 4.905 Å, b = 4.914 Å, c = 8.291 Å, α = 90.00°, β = 90.00° and γ = 90.00°. The distinct sites, in fractional coordinates, are Sr at (0.000, 0.000, 0.240), Tc at (0.000, 0.500, 0.000) and Cl at (0.000, 0.500, 0.500).

Which one is most stable, and which one is least stable? 2 is the most stable of them, while 1 is the least stable.

1.
Here is a relaxed SrTeCl2 crystal from Alexandria. Energies are from GGA-PBEsol.

The volume comes out at 101.33 Å³ per cell.

It has space group P4/mmm (No. 123), with a = 4.794 Å, b = 4.794 Å, c = 4.410 Å, α = 90.00°, β = 90.00° and γ = 90.00°. The distinct sites, in fractional coordinates, are Sr at (0.000, 0.000, 0.000), Te at (0.500, 0.500, 0.000) and Cl at (0.000, 0.500, 0.500).

2.
Here is a relaxed SrTeCl2 crystal from Alexandria. Energies are from GGA-PBEsol.

The volume comes out at 206.35 Å³ per cell.

It has space group I-4m2 (No. 119), with a = 4.231 Å, b = 4.231 Å, c = 11.529 Å, α = 90.00°, β = 90.00° and γ = 90.00°. The distinct sites, in fractional coordinates, are Sr at (0.000, 0.000, 0.000), Te at (0.000, 0.500, 0.250), Cl at (0.000, 0.000, 0.500) and Cl at (0.000, 0.500, 0.750).

3.
Here is a relaxed SrTeCl2 crystal from Alexandria. Energies are from GGA-PBEsol.

The volume comes out at 131.62 Å³ per cell.

It has space group P2/m (No. 10), with a = 5.583 Å, b = 4.283 Å, c = 5.649 Å, α = 90.00°, β = 102.96° and γ = 90.00°. The distinct sites, in fractional coordinates, are Sr at (0.000, 0.000, 0.000), Te at (0.500, 0.000, 0.500) and Cl at (0.211, 0.500, 0.788).

Which one is most stable, and which one is least stable? 2 is the most stable of them, while 3 is the least stable.

1.
Here is a relaxed SrTiCl3 crystal from Alexandria. Energies are from GGA-PBEsol.

The volume comes out at 116.54 Å³ per cell.

It has space group Pm-3m (No. 221), with a = 4.885 Å, b = 4.885 Å, c = 4.885 Å, α = 90.00°, β = 90.00° and γ = 90.00°. The distinct sites, in fractional coordinates, are Sr at (0.000, 0.000, 0.000), Ti at (0.500, 0.500, 0.500) and Cl at (0.000, 0.500, 0.500).

2.
Here is a relaxed SrTiCl3 crystal from Alexandria. Energies are from GGA-PBEsol.

The volume comes out at 166.29 Å³ per cell.

It has space group Pm-3m (No. 221), with a = 5.499 Å, b = 5.499 Å, c = 5.499 Å, α = 90.00°, β = 90.00° and γ = 90.00°. The distinct sites, in fractional coordinates, are Sr at (0.000, 0.000, 0.000), Ti at (0.500, 0.500, 0.500) and Cl at (0.000, 0.000, 0.500).

Which one is most stable, and which one is least stable? 1 is the most stable of them, while 2 is the least stable.

1.
Here is a relaxed Sr2WCl crystal from Alexandria. Energies are from GGA-PBEsol.

The volume comes out at 117.86 Å³ per cell.

It has space group P4/mmm (No. 123), with a = 4.363 Å, b = 4.363 Å, c = 6.191 Å, α = 90.00°, β = 90.00° and γ = 90.00°. The distinct sites, in fractional coordinates, are Sr at (0.000, 0.000, 0.000), Sr at (0.500, 0.500, 0.500), W at (0.000, 0.000, 0.500) and Cl at (0.500, 0.500, 0.000).

2.
Here is a relaxed Sr2WCl crystal from Alexandria. Energies are from GGA-PBEsol.

The volume comes out at 460.26 Å³ per cell.

It has space group Fm-3m (No. 225), with a = 7.721 Å, b = 7.721 Å, c = 7.721 Å, α = 90.00°, β = 90.00° and γ = 90.00°. The distinct sites, in fractional coordinates, are Sr at (0.250, 0.250, 0.250), W at (0.000, 0.000, 0.000) and Cl at (0.000, 0.000, 0.500).

Which one is most stable, and which one is least stable? 1 is the most stable of them, while 2 is the least stable.